Entry 1:
The following is a DFT calculation (PBE) of an optimized crystal structure of Rb2YMn2Se4.

Lattice parameters (Å, degrees): 8.0616 8.0616 8.1995 108.42 108.42 30.35
Last column: nearest neighbours and their distance in Å.
Fractional positions:
Rb (0.1316, 0.1316, 0.0537)  7 Se 3.56-3.62, 1 Rb 3.90, 3 Mn 3.97
Rb (0.8684, 0.8684, 0.9463)  7 Se 3.56-3.62, 1 Rb 3.90, 3 Mn 3.97
Y (0.0000, 0.0000, 0.5000)  6 Se 2.91-2.94
Mn (0.3209, 0.3209, 0.5163)  4 Se 2.52-2.61
Mn (0.6791, 0.6791, 0.4837)  4 Se 2.52-2.61
Se (0.1982, 0.1982, 0.6706)  3 Mn 2.57-2.61
Se (0.4798, 0.4798, 0.7290)  1 Mn 2.52
Se (0.5202, 0.5202, 0.2710)  1 Mn 2.52
Se (0.8018, 0.8018, 0.3294)  3 Mn 2.57-2.61

The value obtained for the final energy is -5.611 eV per atom. The formation energy (no corrections) is -1.091 eV per atom.

---

Entry 2:
The following is a DFT calculation (PBE) of an optimized crystal structure of RbYMnSe4.

Lattice parameters (Å, degrees): 6.7146 6.6634 9.5852 90.00 108.78 90.00
Last column: nearest neighbours and their distance in Å.
Fractional positions:
Rb (0.2432, 0.2500, 0.4407)  8 Se 3.49-3.72
Rb (0.7568, 0.7500, 0.5593)  8 Se 3.49-3.72
Y (0.2650, 0.2500, 0.9504)  6 Se 2.90-2.98
Y (0.7350, 0.7500, 0.0496)  6 Se 2.90-2.98
Mn (0.2789, 0.7500, 0.1716)  4 Se 2.30-2.33
Mn (0.7211, 0.2500, 0.8284)  4 Se 2.30-2.33
Se (0.0781, 0.7500, 0.3271)  1 Mn 2.31
Se (0.0824, 0.7500, 0.9258)  1 Mn 2.30
Se (0.4768, 0.5093, 0.7936)  1 Mn 2.33
Se (0.4768, 0.9907, 0.7936)  1 Mn 2.33
Se (0.5232, 0.0093, 0.2064)  1 Mn 2.33
Se (0.5232, 0.4907, 0.2064)  1 Mn 2.33
Se (0.9176, 0.2500, 0.0742)  1 Mn 2.30
Se (0.9219, 0.2500, 0.6729)  1 Mn 2.31

The value obtained for the final energy is -5.444 eV per atom. The formation energy (no corrections) is -1.081 eV per atom.

---

Number 2 is which compound? RbYMnSe4